A relaxed structure of Na2TbO3, computed with GGA-PBE.

The uncorrected formation energy is -2.10 eV/atom. For the final energy, the calculation gives -138.967 eV per cell. As for the density of states at the Fermi level: 20.61 states/eV/cell. The size of the total moment comes out at 1.0 μB per formula unit.

The space group is C2/c (No. 15) and the conventional cell measures 6.055, 10.132 and 5.934 Å, with angles of 90.00, 111.78 and 90.00 degrees. The inequivalent atoms are Na at (0.000, 0.080, 0.250), Na at (0.000, 0.245, 0.750), Tb at (0.000, 0.406, 0.250), O at (0.214, 0.429, 0.010) and O at (0.250, 0.250, 0.500).

A relaxed structure of CeSbTe, computed with GGA-PBE.

The uncorrected formation energy is -1.14 eV/atom. For the final energy, the calculation gives -33.233 eV per cell. As for the density of states at the Fermi level: 13.05 states/eV/cell. The size of the total moment comes out at 0.7 μB per formula unit.

The space group is P4/nmm (No. 129, origin choice 2) and the conventional cell measures 4.378, 4.378 and 9.278 Å, with angles of 90.00, 90.00 and 90.00 degrees. The inequivalent atoms are Ce at (0.250, 0.250, 0.226), Sb at (0.250, 0.750, 0.500) and Te at (0.250, 0.250, 0.868).

A relaxed structure of AcCe2PaAs4, computed with GGA-PBE.

For the final energy, the calculation gives -108.628 eV per cell. As for the density of states at the Fermi level: 30.79 states/eV/cell. As for the formation energy: -1.2805 eV/atom. The size of the total moment comes out at 2.3 μB per formula unit.

The space group is I-4m2 (No. 119) and the conventional cell measures 6.046, 6.046 and 12.081 Å, with angles of 90.00, 90.00 and 90.00 degrees. The inequivalent atoms are Ac at (0.000, 0.000, 0.000), Ce at (0.000, 0.000, 0.500), Ce at (0.000, 0.500, 0.250), Pa at (0.000, 0.500, 0.750), As at (0.000, 0.000, 0.257) and As at (0.000, 0.500, 0.508).

A relaxed structure of CdInAs2, computed with GGA-PBE.

For the final energy, the calculation gives -12.791 eV per cell. As for the density of states at the Fermi level: 1.20 states/eV/cell. As for the formation energy: 0.0403 eV/atom. The size of the total moment comes out at 0.0 μB per formula unit.

The space group is P2/m (No. 10) and the conventional cell measures 4.771, 3.978 and 5.528 Å, with angles of 90.00, 106.24 and 90.00 degrees. The inequivalent atoms are Cd at (0.000, 0.000, 0.000), In at (0.500, 0.000, 0.500) and As at (0.186, 0.500, 0.704).